Entry 1:
DFT (PBE) results for an optimized crystal structure of KTl2Zn.

Output
* N(E_F): 5.170 states/eV per cell
* relative energy among the computed polymorphs: 0.3 kJ per mole of atoms

The structure in CIF format:
```
data_KTl2Zn
_symmetry_space_group_name_H-M 'R 3 m'
_symmetry_Int_Tables_number 160
_symmetry_space_group_name_Hall 'R 3 -2"'
_cell_length_a 4.7556
_cell_length_b 4.7556
_cell_length_c 20.4266
_cell_angle_alpha 90.00
_cell_angle_beta 90.00
_cell_angle_gamma 120.00
loop_
_atom_site_label
_atom_site_fract_x
_atom_site_fract_y
_atom_site_fract_z
K1 0.0000 0.0000 0.0000
Tl1 0.0000 0.0000 0.5530
Tl2 0.0000 0.0000 0.7837
Zn1 0.0000 0.0000 0.1772
```


Entry 2:
DFT (PBE) results for an optimized crystal structure of K2TlZn.

Output
* N(E_F): 1.974 states/eV per cell
* relative energy among the computed polymorphs: 0.0 kJ per mole of atoms

The structure in CIF format:
```
data_K2TlZn
_symmetry_space_group_name_H-M 'P 1 m 1'
_symmetry_Int_Tables_number 6
_symmetry_space_group_name_Hall 'P -2y'
_cell_length_a 5.340
_cell_length_b 4.891
_cell_length_c 6.805
_cell_angle_alpha 90.00
_cell_angle_beta 113.09
_cell_angle_gamma 90.00
loop_
_atom_site_label
_atom_site_fract_x
_atom_site_fract_y
_atom_site_fract_z
K1 0.000 0.000 0.000
K2 0.301 0.500 0.603
Tl1 0.701 0.000 0.401
Zn1 0.600 0.500 0.202
```


Entry 3:
DFT (PBE) results for an optimized crystal structure of KTlZn4.

Output
* raw total energy: -1.33 eV per atom
* N(E_F): 17.658 states/eV per cell

The structure in CIF format:
```
data_KTlZn4
_symmetry_space_group_name_H-M 'F -4 3 m'
_symmetry_Int_Tables_number 216
_symmetry_space_group_name_Hall 'F -4 2 3'
_cell_length_a 8.090
_cell_length_b 8.090
_cell_length_c 8.090
_cell_angle_alpha 90.00
_cell_angle_beta 90.00
_cell_angle_gamma 90.00
loop_
_atom_site_label
_atom_site_fract_x
_atom_site_fract_y
_atom_site_fract_z
K1 0.000 0.000 0.000
Tl1 0.250 0.250 0.750
Zn1 0.124 0.124 0.376
```


Entry 4:
DFT (PBE) results for an optimized crystal structure of K2TlZn.

Output
* N(E_F): 5.534 states/eV per cell
* relative energy among the computed polymorphs: 4.4 kJ per mole of atoms

The structure in CIF format:
```
data_K2TlZn
_symmetry_space_group_name_H-M 'C m m 2'
_symmetry_Int_Tables_number 35
_symmetry_space_group_name_Hall 'C 2 -2'
_cell_length_a 5.606
_cell_length_b 5.737
_cell_length_c 9.974
_cell_angle_alpha 90.00
_cell_angle_beta 90.00
_cell_angle_gamma 90.00
loop_
_atom_site_label
_atom_site_fract_x
_atom_site_fract_y
_atom_site_fract_z
K1 0.000 0.000 0.000
K2 0.000 0.500 0.393
Tl1 0.000 0.000 0.646
Zn1 0.000 0.500 0.757
```


Entry 5:
DFT (PBE) results for an optimized crystal structure of K2TlZn.

Output
* N(E_F): 2.540 states/eV per cell
* relative energy among the computed polymorphs: 10.6 kJ per mole of atoms

The structure in CIF format:
```
data_K2TlZn
_symmetry_space_group_name_H-M 'P 1 2/m 1'
_symmetry_Int_Tables_number 10
_symmetry_space_group_name_Hall '-P 2y'
_cell_length_a 4.288
_cell_length_b 4.649
_cell_length_c 7.514
_cell_angle_alpha 90.00
_cell_angle_beta 90.58
_cell_angle_gamma 90.00
loop_
_atom_site_label
_atom_site_fract_x
_atom_site_fract_y
_atom_site_fract_z
K1 0.001 0.000 0.255
Tl1 0.500 0.500 0.000
Zn1 0.500 0.500 0.500
```


Entry 6:
DFT (PBE) results for an optimized crystal structure of K2TlZn.

Output
* N(E_F): 20.539 states/eV per cell
* relative energy among the computed polymorphs: 14.0 kJ per mole of atoms

The structure in CIF format:
```
data_K2TlZn
_symmetry_space_group_name_H-M 'F m -3 m'
_symmetry_Int_Tables_number 225
_symmetry_space_group_name_Hall '-F 4 2 3'
_cell_length_a 8.474
_cell_length_b 8.474
_cell_length_c 8.474
_cell_angle_alpha 90.00
_cell_angle_beta 90.00
_cell_angle_gamma 90.00
loop_
_atom_site_label
_atom_site_fract_x
_atom_site_fract_y
_atom_site_fract_z
K1 0.250 0.250 0.250
Tl1 0.000 0.000 0.000
Zn1 0.000 0.000 0.500
```


Entry 7:
DFT (PBE) results for an optimized crystal structure of K2Tl2Zn.

Output
* N(E_F): 8.108 states/eV per cell
* relative energy among the computed polymorphs: 15.0 kJ per mole of atoms

The structure in CIF format:
```
data_K2Tl2Zn
_symmetry_space_group_name_H-M 'P 4/m b m'
_symmetry_Int_Tables_number 127
_symmetry_space_group_name_Hall '-P 4 2ab'
_cell_length_a 10.852
_cell_length_b 10.852
_cell_length_c 3.386
_cell_angle_alpha 90.00
_cell_angle_beta 90.00
_cell_angle_gamma 90.00
loop_
_atom_site_label
_atom_site_fract_x
_atom_site_fract_y
_atom_site_fract_z
K1 0.195 0.305 0.000
Tl1 0.100 0.600 0.500
Zn1 0.000 0.000 0.000
```


Entry 8:
DFT (PBE) results for an optimized crystal structure of KTl2Zn.

Output
* N(E_F): 5.275 states/eV per cell
* relative energy among the computed polymorphs: 0.0 kJ per mole of atoms

The structure in CIF format:
```
data_KTl2Zn
_symmetry_space_group_name_H-M 'R -3 m'
_symmetry_Int_Tables_number 166
_symmetry_space_group_name_Hall '-R 3 2"'
_cell_length_a 4.7463
_cell_length_b 4.7463
_cell_length_c 20.4474
_cell_angle_alpha 90.00
_cell_angle_beta 90.00
_cell_angle_gamma 120.00
loop_
_atom_site_label
_atom_site_fract_x
_atom_site_fract_y
_atom_site_fract_z
K1 0.0000 0.0000 0.0000
Tl1 0.0000 0.0000 0.2175
Zn1 0.0000 0.0000 0.5000
```